# HfZr2FeRu

A relaxed HfZr2FeRu crystal (PBE, Alexandria via LeMat-Bulk).

## Properties
ΔE_f (eV/atom): 1.453
D(E_F) (states/eV per cell): 4.267
E (eV/atom): -7.504

a = 5.1263 Å, b = 4.2631 Å, c = 5.1263 Å
α = 90.00°, β = 90.00°, γ = 90.00°
Site moments in Bohr magnetons follow the coordinates.
Positions (direct):
Zr 0.0000 0.0000 0.5000  -0.08
Zr 0.5000 0.0000 0.0000  -0.18
Hf 0.0000 0.0000 0.0000  -0.09
Fe 0.0000 0.5000 0.0000  1.47
Ru 0.5000 0.5000 0.5000  1.17

# HfFeS3

A relaxed HfFeS3 crystal (PBE, Alexandria via LeMat-Bulk).

## Properties
Energy above the lowest structure with this stoichiometry (meV per atom): 0
D(E_F) (states/eV per cell): 4.122
Raw formation energy (eV/atom): -0.119
E (eV/atom): -6.279

a = 4.8945 Å, b = 4.8945 Å, c = 4.8945 Å
α = 90.00°, β = 90.00°, γ = 90.00°
Site moments in Bohr magnetons follow the coordinates.
Positions (direct):
S 0.0000 0.5000 0.0000  0.13
S 0.0000 0.0000 0.5000  0.08
S 0.5000 0.0000 0.0000  0.10
Fe 0.5000 0.5000 0.5000  3.34
Hf 0.0000 0.0000 0.0000  -0.02

# Hf2FeS

A relaxed Hf2FeS crystal (PBE, Alexandria via LeMat-Bulk).

## Properties
D(E_F) (states/eV per cell): 8.673
Raw formation energy (eV/atom): 0.076
E (eV/atom): -8.048

a = 5.6065 Å, b = 5.6065 Å, c = 7.0279 Å
α = 66.49°, β = 66.49°, γ = 90.00°
Positions (direct):
Hf 0.0953 0.6250 0.2500
Hf 0.3750 0.3453 0.7500
Hf 0.6547 0.1250 0.2500
Hf 0.8750 0.9047 0.7500
S 0.5000 0.5000 0.0000
S 0.2500 0.7500 0.5000
Fe 0.7500 0.2500 0.5000
Fe 0.0000 0.0000 0.0000

# HfFeS3

A relaxed HfFeS3 crystal (PBE, Alexandria via LeMat-Bulk).

## Properties
Energy above the lowest structure with this stoichiometry (meV per atom): 47
D(E_F) (states/eV per cell): 4.757
Raw formation energy (eV/atom): -0.072
E (eV/atom): -6.232

a = 4.3754 Å, b = 4.3754 Å, c = 4.3754 Å
α = 90.00°, β = 90.00°, γ = 90.00°
Site moments in Bohr magnetons follow the coordinates.
Positions (direct):
S 0.0000 0.0000 0.5000  0.02
S 0.5000 0.0000 0.0000  0.06
S 0.0000 0.5000 0.0000  0.02
Hf 0.5000 0.5000 0.5000  -0.14
Fe 0.0000 0.0000 0.0000  1.55

# Hf2FeS

A relaxed Hf2FeS crystal (PBE, Alexandria via LeMat-Bulk).

## Properties
D(E_F) (states/eV per cell): 2.939
Raw formation energy (eV/atom): -0.008
E (eV/atom): -8.132

a = 3.1862 Å, b = 3.1862 Å, c = 8.6252 Å
α = 79.36°, β = 79.36°, γ = 60.00°
Site moments in Bohr magnetons follow the coordinates.
Positions (direct):
Hf 0.9065 0.9065 0.2805  -0.11
Hf 0.0935 0.0935 0.7195  -0.11
Fe 0.0000 0.0000 0.0000  1.82
S 0.5000 0.5000 0.5000  0.02

# HfFe2S

A relaxed HfFe2S crystal (PBE, Alexandria via LeMat-Bulk).

## Properties
D(E_F) (states/eV per cell): 10.360
Raw formation energy (eV/atom): -0.123
E (eV/atom): -7.875

a = 6.8939 Å, b = 6.8939 Å, c = 5.4817 Å
α = 51.04°, β = 51.04°, γ = 90.00°
Site moments in Bohr magnetons follow the coordinates.
Positions (direct):
Fe 0.8750 0.7880 0.7500  1.74
Fe 0.5380 0.1250 0.2500  1.68
Fe 0.2120 0.6250 0.2500  1.69
Fe 0.3750 0.4620 0.7500  1.73
S 0.5000 0.5000 0.0000  0.00
S 0.2500 0.7500 0.5000  0.00
Hf 0.0000 0.0000 0.0000  -0.15
Hf 0.7500 0.2500 0.5000  -0.15